Zr2ScMn, PBEsol geometry, DFT SCAN; ρ = 5.98 g/cm3; energy above the most stable polymorph in this dataset = 0.77 eV/f.u.; density of states at the Fermi level = 4.154 states/eV/cell; space group = R-3m, No. 166; energy of formation = 194 meV per atom
1.0
3.1805 0.0000 0.0000
1.5903 2.7544 0.0000
1.5903 0.9181 8.9474
Zr Mn Sc
2 1 1
Direct
0.7345 0.7345 0.7966 Zr
0.2655 0.2655 0.2034 Zr
0.0000 0.0000 0.0000 Mn
0.5000 0.5000 0.5000 Sc

---

ZrScMn, PBEsol geometry, DFT SCAN; ρ = 5.74 g/cm3; density of states at the Fermi level = 1.206 states/eV/cell; space group = I4mm, No. 107; energy of formation = -4 meV per atom
1.0
-3.0405 -0.6536 -0.2523
0.6065 -1.8932 -2.4049
1.8552 -3.0804 4.9170
Mn Sc Zr
1 1 1
Direct
0.0047 0.0047 0.0093 Mn
0.3664 0.3664 0.7328 Sc
0.6289 0.6289 0.2578 Zr